(1)
Entry from Alexandria: a relaxed AcPr2Nd3 crystal (PBE).

Values from the calculation:
**Density of states at the Fermi level**: 10.75 states/eV/f.u.
**Polymorph energy (0 for the lowest one)**: 0.203 eV per formula unit
**ΔE_f**: 19 kJ per mole of atoms
**ρ**: 6.96 g/cm³

Structure (CIF):
```
data_AcPr2Nd3
_symmetry_space_group_name_H-M 'P -3 m 1'
_symmetry_Int_Tables_number 164
_symmetry_space_group_name_Hall '-P 3 2"'
_cell_length_a 7.1343
_cell_length_b 7.1343
_cell_length_c 10.1900
_cell_angle_alpha 90.00
_cell_angle_beta 90.00
_cell_angle_gamma 120.00
loop_
_atom_site_label
_atom_site_type_symbol
_atom_site_fract_x
_atom_site_fract_y
_atom_site_fract_z
Ac1 Ac 0.3333 0.6667 0.4269
Pr1 Pr 0.0000 0.0000 0.0000
Pr2 Pr 0.0000 0.0000 0.5000
Pr3 Pr 0.3333 0.6667 0.0739
Nd1 Nd 0.1819 0.3638 0.7590
```

(2)
Entry from Alexandria: a relaxed Dy2As7Ru12 crystal (PBE).

Values from the calculation:
**Density of states at the Fermi level**: 13.08 states/eV/f.u.
**ΔE_f**: -41 kJ per mole of atoms
**ρ**: 10.33 g/cm³

Structure (CIF):
```
data_Dy2As7Ru12
_symmetry_space_group_name_H-M 'P -6'
_symmetry_Int_Tables_number 174
_cell_length_a 9.7588
_cell_length_b 9.7588
_cell_length_c 4.0202
_cell_angle_alpha 90.00
_cell_angle_beta 90.00
_cell_angle_gamma 120.00
loop_
_symmetry_equiv_pos_as_xyz
'x,y,z'
'-x+y,-x,-z'
'-y,x-y,z'
'x,y,-z'
'-x+y,-x,z'
'-y,x-y,-z'
loop_
_atom_site_label
_atom_site_type_symbol
_atom_site_fract_x
_atom_site_fract_y
_atom_site_fract_z
Dy1 Dy 0.0000 0.0000 0.0000
Dy2 Dy 0.3333 0.6667 0.5000
As1 As 0.0694 0.6200 0.0000
As2 As 0.2472 0.0317 0.5000
As3 As 0.6667 0.3333 0.5000
Ru1 Ru 0.0322 0.7598 0.5000
Ru2 Ru 0.1058 0.3852 0.0000
Ru3 Ru 0.4564 0.2404 0.0000
Ru4 Ru 0.5069 0.0583 0.5000
```